# NbTl2AgSe4 PBE-GGA optimized geometry
data_NbTl2AgSe4
_chemical_formula_sum 'Nb2 Tl4 Ag2 Se8'
_cell_length_a 7.881
_cell_length_b 7.881
_cell_length_c 8.150
_cell_angle_alpha 90.00
_cell_angle_beta 90.00
_cell_angle_gamma 90.00
_space_group_name_H-M_alt 'P 1'
_space_group_IT_number 1
loop_
_space_group_symop_operation_xyz
'x,y,z'
loop_
_atom_site_label
_atom_site_fract_x
_atom_site_fract_y
_atom_site_fract_z
Nb1 0.000 0.000 0.000
Nb2 0.500 0.500 0.500
Tl1 0.000 0.000 0.500
Tl2 0.000 0.500 0.250
Tl3 0.500 0.000 0.750
Tl4 0.500 0.500 0.000
Ag1 0.000 0.500 0.750
Ag2 0.500 0.000 0.250
Se1 0.151 0.797 0.829
Se2 0.203 0.151 0.171
Se3 0.297 0.349 0.671
Se4 0.349 0.703 0.329
Se5 0.651 0.297 0.329
Se6 0.703 0.651 0.671
Se7 0.797 0.849 0.171
Se8 0.849 0.203 0.829
# formation energy without anion corrections	-0.462	eV/atom
# final energy	-4.41	eV per atom

***

# UB2Os PBE-GGA optimized geometry
data_UB2Os
_chemical_formula_sum 'U3 B6 Os3'
_cell_length_a 3.390
_cell_length_b 3.390
_cell_length_c 15.826
_cell_angle_alpha 90.00
_cell_angle_beta 90.00
_cell_angle_gamma 120.00
_space_group_name_H-M_alt 'P 1'
_space_group_IT_number 1
loop_
_space_group_symop_operation_xyz
'x,y,z'
loop_
_atom_site_label
_atom_site_fract_x
_atom_site_fract_y
_atom_site_fract_z
U1 0.000 0.000 0.000
U2 0.333 0.667 0.667
U3 0.667 0.333 0.333
B1 0.000 0.000 0.230
B2 0.000 0.000 0.770
B3 0.333 0.667 0.437
B4 0.333 0.667 0.896
B5 0.667 0.333 0.104
B6 0.667 0.333 0.563
Os1 0.000 0.000 0.500
Os2 0.333 0.667 0.167
Os3 0.667 0.333 0.833
# energy relative to the elements	0.00	eV per atom
# distance to the lowest polymorph of the same formula	344	meV per atom
# final energy	-8.97	eV per atom

***

# SiOsSe2 PBE-GGA optimized geometry
data_SiOsSe2
_chemical_formula_sum 'Si3 Os3 Se6'
_cell_length_a 3.294
_cell_length_b 3.294
_cell_length_c 25.558
_cell_angle_alpha 90.00
_cell_angle_beta 90.00
_cell_angle_gamma 120.00
_space_group_name_H-M_alt 'P 1'
_space_group_IT_number 1
loop_
_space_group_symop_operation_xyz
'x,y,z'
loop_
_atom_site_label
_atom_site_fract_x
_atom_site_fract_y
_atom_site_fract_z
Si1 0.000 0.000 0.000
Si2 0.333 0.667 0.667
Si3 0.667 0.333 0.333
Os1 0.000 0.000 0.742
Os2 0.333 0.667 0.408
Os3 0.667 0.333 0.075
Se1 0.000 0.000 0.275
Se2 0.000 0.000 0.468
Se3 0.333 0.667 0.135
Se4 0.333 0.667 0.941
Se5 0.667 0.333 0.608
Se6 0.667 0.333 0.801
# formation energy without anion corrections	0.036	eV/atom
# final energy	-5.87	eV per atom

***

# NiPdC3 PBE-GGA optimized geometry
data_NiPdC3
_chemical_formula_sum 'Ni1 Pd1 C3'
_cell_length_a 3.756
_cell_length_b 3.756
_cell_length_c 3.756
_cell_angle_alpha 90.00
_cell_angle_beta 90.00
_cell_angle_gamma 90.00
_space_group_name_H-M_alt 'P 1'
_space_group_IT_number 1
loop_
_space_group_symop_operation_xyz
'x,y,z'
loop_
_atom_site_label
_atom_site_fract_x
_atom_site_fract_y
_atom_site_fract_z
Ni1 0.000 0.000 0.000
Pd1 0.500 0.500 0.500
C1 0.000 0.000 0.500
C2 0.000 0.500 0.000
C3 0.500 0.000 0.000
# energy relative to the elements	2.23	eV per atom
# distance to the lowest polymorph of the same formula	0	meV per atom
# final energy	-5.50	eV per atom

***

# CdAgOs2 PBE-GGA optimized geometry
data_CdAgOs2
_chemical_formula_sum 'Cd4 Ag4 Os8'
_cell_length_a 7.604
_cell_length_b 7.604
_cell_length_c 5.108
_cell_angle_alpha 90.00
_cell_angle_beta 90.00
_cell_angle_gamma 90.00
_space_group_name_H-M_alt 'P 1'
_space_group_IT_number 1
loop_
_space_group_symop_operation_xyz
'x,y,z'
loop_
_atom_site_label
_atom_site_fract_x
_atom_site_fract_y
_atom_site_fract_z
Cd1 0.000 0.000 0.000
Cd2 0.000 0.500 0.250
Cd3 0.500 0.000 0.750
Cd4 0.500 0.500 0.500
Ag1 0.000 0.000 0.500
Ag2 0.000 0.500 0.750
Ag3 0.500 0.000 0.250
Ag4 0.500 0.500 0.000
Os1 0.234 0.250 0.625
Os2 0.250 0.734 0.875
Os3 0.250 0.766 0.375
Os4 0.266 0.250 0.125
Os5 0.734 0.750 0.125
Os6 0.750 0.234 0.375
Os7 0.750 0.266 0.875
Os8 0.766 0.750 0.625
# energy relative to the elements	1.41	eV per atom
# final energy	-5.15	eV per atom

***

# MgCuRe PBE-GGA optimized geometry
data_MgCuRe
_chemical_formula_sum 'Mg4 Cu4 Re4'
_cell_length_a 3.367
_cell_length_b 4.137
_cell_length_c 12.836
_cell_angle_alpha 90.00
_cell_angle_beta 90.00
_cell_angle_gamma 90.00
_space_group_name_H-M_alt 'P 1'
_space_group_IT_number 1
loop_
_space_group_symop_operation_xyz
'x,y,z'
loop_
_atom_site_label
_atom_site_fract_x
_atom_site_fract_y
_atom_site_fract_z
Mg1 0.000 0.000 0.000
Mg2 0.000 0.500 0.500
Mg3 0.500 0.000 0.500
Mg4 0.500 0.500 0.000
Cu1 0.000 0.000 0.334
Cu2 0.000 0.500 0.834
Cu3 0.500 0.000 0.834
Cu4 0.500 0.500 0.334
Re1 0.000 0.000 0.676
Re2 0.000 0.500 0.176
Re3 0.500 0.000 0.176
Re4 0.500 0.500 0.676
# energy relative to the elements	0.25	eV per atom
# distance to the lowest polymorph of the same formula	3	meV per atom
# final energy	-5.80	eV per atom

***

# AgAu PBE-GGA optimized geometry
data_AgAu
_chemical_formula_sum 'Ag4 Au4'
_cell_length_a 4.659
_cell_length_b 4.659
_cell_length_c 8.415
_cell_angle_alpha 90.00
_cell_angle_beta 90.00
_cell_angle_gamma 120.00
_space_group_name_H-M_alt 'P 1'
_space_group_IT_number 1
loop_
_space_group_symop_operation_xyz
'x,y,z'
loop_
_atom_site_label
_atom_site_fract_x
_atom_site_fract_y
_atom_site_fract_z
Ag1 0.333 0.667 0.084
Ag2 0.333 0.667 0.416
Ag3 0.667 0.333 0.584
Ag4 0.667 0.333 0.916
Au1 0.000 0.000 0.250
Au2 0.000 0.000 0.750
Au3 0.333 0.667 0.750
Au4 0.667 0.333 0.250
# energy relative to the elements	0.09	eV per atom
# final energy	-2.97	eV per atom

***

# CsCuO2F PBE-GGA optimized geometry
data_CsCuO2F
_chemical_formula_sum 'Cs1 Cu1 O2 F1'
_cell_length_a 4.317
_cell_length_b 4.317
_cell_length_c 5.359
_cell_angle_alpha 90.00
_cell_angle_beta 90.00
_cell_angle_gamma 90.00
_space_group_name_H-M_alt 'P 1'
_space_group_IT_number 1
loop_
_space_group_symop_operation_xyz
'x,y,z'
loop_
_atom_site_label
_atom_site_fract_x
_atom_site_fract_y
_atom_site_fract_z
Cs1 0.000 0.000 0.000
Cu1 0.500 0.500 0.500
O1 0.000 0.500 0.000
O2 0.500 0.000 0.000
F1 0.000 0.000 0.500
# formation energy without anion corrections	0.471	eV/atom
# final energy	-2.88	eV per atom

***

# LiMg3Cl PBE-GGA optimized geometry
data_LiMg3Cl
_chemical_formula_sum 'Li1 Mg3 Cl1'
_cell_length_a 5.149
_cell_length_b 5.149
_cell_length_c 5.149
_cell_angle_alpha 90.00
_cell_angle_beta 90.00
_cell_angle_gamma 90.00
_space_group_name_H-M_alt 'P 1'
_space_group_IT_number 1
loop_
_space_group_symop_operation_xyz
'x,y,z'
loop_
_atom_site_label
_atom_site_fract_x
_atom_site_fract_y
_atom_site_fract_z
Li1 0.000 0.000 0.000
Mg1 0.000 0.000 0.500
Mg2 0.000 0.500 0.000
Mg3 0.500 0.000 0.000
Cl1 0.500 0.500 0.500
# formation energy without anion corrections	0.073	eV/atom
# final energy	-1.64	eV per atom

***

# La3RuC2N6 PBE-GGA optimized geometry
data_La3RuC2N6
_chemical_formula_sum 'La3 Ru1 C2 N6'
_cell_length_a 5.304
_cell_length_b 5.304
_cell_length_c 6.682
_cell_angle_alpha 90.00
_cell_angle_beta 90.00
_cell_angle_gamma 120.00
_space_group_name_H-M_alt 'P 1'
_space_group_IT_number 1
loop_
_space_group_symop_operation_xyz
'x,y,z'
loop_
_atom_site_label
_atom_site_fract_x
_atom_site_fract_y
_atom_site_fract_z
La1 0.000 0.000 0.000
La2 0.333 0.667 0.668
La3 0.667 0.333 0.332
Ru1 0.000 0.000 0.500
C1 0.333 0.667 0.272
C2 0.667 0.333 0.728
N1 0.183 0.366 0.273
N2 0.183 0.817 0.273
N3 0.366 0.183 0.727
N4 0.634 0.817 0.273
N5 0.817 0.183 0.727
N6 0.817 0.634 0.727
# formation energy without anion corrections	-0.571	eV/atom
# final energy	-8.28	eV per atom

***

# Li2Hg3IrO6 PBE-GGA optimized geometry
data_Li2Hg3IrO6
_chemical_formula_sum 'Li2 Hg3 Ir1 O6'
_cell_length_a 5.510
_cell_length_b 5.510
_cell_length_c 6.127
_cell_angle_alpha 98.33
_cell_angle_beta 98.33
_cell_angle_gamma 118.65
_space_group_name_H-M_alt 'P 1'
_space_group_IT_number 1
loop_
_space_group_symop_operation_xyz
'x,y,z'
loop_
_atom_site_label
_atom_site_fract_x
_atom_site_fract_y
_atom_site_fract_z
Li1 0.159 0.841 0.000
Li2 0.841 0.159 0.000
Hg1 0.000 0.000 0.500
Hg2 0.336 0.664 0.500
Hg3 0.664 0.336 0.500
Ir1 0.500 0.500 0.000
O1 0.166 0.457 0.792
O2 0.251 0.251 0.168
O3 0.457 0.166 0.792
O4 0.543 0.834 0.208
O5 0.749 0.749 0.832
O6 0.834 0.543 0.208
# formation energy without anion corrections	-0.758	eV/atom
# final energy	-4.37	eV per atom

***

# TbZnCuAg PBE-GGA optimized geometry
data_TbZnCuAg
_chemical_formula_sum 'Tb4 Zn4 Cu4 Ag4'
_cell_length_a 6.663
_cell_length_b 6.663
_cell_length_c 6.663
_cell_angle_alpha 90.00
_cell_angle_beta 90.00
_cell_angle_gamma 90.00
_space_group_name_H-M_alt 'P 1'
_space_group_IT_number 1
loop_
_space_group_symop_operation_xyz
'x,y,z'
loop_
_atom_site_label
_atom_site_fract_x
_atom_site_fract_y
_atom_site_fract_z
Tb1 0.000 0.000 0.000
Tb2 0.000 0.500 0.500
Tb3 0.500 0.000 0.500
Tb4 0.500 0.500 0.000
Zn1 0.250 0.250 0.250
Zn2 0.250 0.750 0.750
Zn3 0.750 0.250 0.750
Zn4 0.750 0.750 0.250
Cu1 0.250 0.250 0.750
Cu2 0.250 0.750 0.250
Cu3 0.750 0.250 0.250
Cu4 0.750 0.750 0.750
Ag1 0.000 0.000 0.500
Ag2 0.000 0.500 0.000
Ag3 0.500 0.000 0.000
Ag4 0.500 0.500 0.500
# energy relative to the elements	-0.19	eV per atom
# final energy	-3.40	eV per atom

***

- Look up the final energy of the eleventh one.
  -4.37 eV per atom